[1]
Below is a geometry-optimized TlP2RuCl structure, with properties calculated at the PBE level.

a b c (Å): 5.0795 5.0795 5.2400
angles (deg): 90.00 90.00 90.00
Last column: nearest neighbours and their distance in Å.
Fractional coordinates of all 5 atoms:
Tl1 0.0000 0.0000 0.0000  4 P 2.54, 2 Cl 2.62
P1 0.0000 0.5000 0.0000  2 Tl 2.54
P2 0.5000 0.0000 0.0000  2 Tl 2.54
Ru1 0.5000 0.5000 0.5000  4 Cl 3.59, 8 P 3.65
Cl1 0.0000 0.0000 0.5000  2 Tl 2.62

Summary:
Energy relative to the elements, uncorrected ... 8.18 eV per formula unit
Space-group type ... No. 123
Total energy ... -3.226 eV per atom
Energy relative to the lowest polymorph listed for this composition ... 1.532 eV per atom
Crystal system ... tetragonal



[2]
Below is a geometry-optimized PRuWCl2 structure, with properties calculated at the PBE level.

a b c (Å): 4.7948 4.7948 4.5565
angles (deg): 90.00 90.00 90.00
Last column: nearest neighbours and their distance in Å.
Fractional coordinates of all 5 atoms:
P1 0.0000 0.0000 0.0000  2 Ru 2.28
Ru1 0.0000 0.0000 0.5000  2 P 2.28, 4 Cl 2.40
W1 0.5000 0.5000 0.0000  8 Cl 3.31, 4 P 3.39
Cl1 0.0000 0.5000 0.5000  2 Ru 2.40
Cl2 0.5000 0.0000 0.5000  2 Ru 2.40

Summary:
Energy relative to the elements, uncorrected ... 6.22 eV per formula unit
Space-group type ... No. 123
Total energy ... -5.023 eV per atom
Energy relative to the lowest polymorph listed for this composition ... 0.221 eV per atom
Crystal system ... tetragonal



[3]
Below is a geometry-optimized PRuWCl2 structure, with properties calculated at the PBE level.

a b c (Å): 4.7126 4.7126 4.8352
angles (deg): 90.00 90.00 90.00
Last column: nearest neighbours and their distance in Å.
Fractional coordinates of all 5 atoms:
P1 0.0000 0.0000 0.0000  2 W 2.42
Ru1 0.5000 0.5000 0.0000  4 P 3.33, 8 Cl 3.38
W1 0.0000 0.0000 0.5000  4 Cl 2.36, 2 P 2.42
Cl1 0.0000 0.5000 0.5000  2 W 2.36
Cl2 0.5000 0.0000 0.5000  2 W 2.36

Summary:
Energy relative to the elements, uncorrected ... 5.11 eV per formula unit
Space-group type ... No. 123
Total energy ... -5.244 eV per atom
Energy relative to the lowest polymorph listed for this composition ... 0.000 eV per atom
Crystal system ... tetragonal



[4]
Below is a geometry-optimized YPRuCl2 structure, with properties calculated at the PBE level.

a b c (Å): 5.0620 5.0620 5.6909
angles (deg): 90.00 90.00 90.00
Last column: nearest neighbours and their distance in Å.
Fractional coordinates of all 5 atoms:
Y1 0.0000 0.0000 0.0000  4 Cl 2.53
P1 0.0000 0.0000 0.5000  2 Y 2.85
Ru1 0.5000 0.5000 0.5000  4 P 3.58, 8 Cl 3.81
Cl1 0.0000 0.5000 0.0000  2 Y 2.53
Cl2 0.5000 0.0000 0.0000  2 Y 2.53

Summary:
Energy relative to the elements, uncorrected ... 0.47 eV per formula unit
Space-group type ... No. 123
Total energy ... -4.875 eV per atom
Energy relative to the lowest polymorph listed for this composition ... 0.421 eV per atom
Crystal system ... tetragonal



[5]
Below is a geometry-optimized YPRuCl2 structure, with properties calculated at the PBE level.

a b c (Å): 4.7170 4.7170 4.7143
angles (deg): 90.00 90.00 90.00
Last column: nearest neighbours and their distance in Å.
Fractional coordinates of all 5 atoms:
Y1 0.0000 0.0000 0.0000  8 Cl 3.33, 4 P 3.34
P1 0.5000 0.5000 0.0000  2 Ru 2.36
Ru1 0.5000 0.5000 0.5000  2 P 2.36, 4 Cl 2.36
Cl1 0.0000 0.5000 0.5000  2 Ru 2.36
Cl2 0.5000 0.0000 0.5000  2 Ru 2.36

Summary:
Energy relative to the elements, uncorrected ... -1.64 eV per formula unit
Space-group type ... No. 123
Total energy ... -5.296 eV per atom
Energy relative to the lowest polymorph listed for this composition ... 0.000 eV per atom
Crystal system ... tetragonal



[6]
Below is a geometry-optimized ZnP2RuCl structure, with properties calculated at the PBE level.

a b c (Å): 4.5225 4.5225 5.1336
angles (deg): 90.00 90.00 90.00
Last column: nearest neighbours and their distance in Å.
Fractional coordinates of all 5 atoms:
Zn1 0.0000 0.0000 0.0000  4 Cl 3.20, 8 P 3.42
P1 0.0000 0.5000 0.5000  2 Ru 2.26
P2 0.5000 0.0000 0.5000  2 Ru 2.26
Ru1 0.5000 0.5000 0.5000  4 P 2.26
Cl1 0.5000 0.5000 0.0000  2 Ru 2.57

Summary:
Energy relative to the elements, uncorrected ... 1.91 eV per formula unit
Space-group type ... No. 123
Total energy ... -4.260 eV per atom
Energy relative to the lowest polymorph listed for this composition ... 0.000 eV per atom
Crystal system ... tetragonal



[7]
Below is a geometry-optimized ZnPRuCl2 structure, with properties calculated at the PBE level.

a b c (Å): 4.5833 4.5833 5.1786
angles (deg): 90.00 90.00 90.00
Last column: nearest neighbours and their distance in Å.
Fractional coordinates of all 5 atoms:
Zn1 0.0000 0.0000 0.0000  4 Cl 2.29
P1 0.0000 0.0000 0.5000  2 Zn 2.59
Ru1 0.5000 0.5000 0.5000  4 P 3.24, 8 Cl 3.46
Cl1 0.0000 0.5000 0.0000  2 Zn 2.29
Cl2 0.5000 0.0000 0.0000  2 Zn 2.29

Summary:
Energy relative to the elements, uncorrected ... 4.03 eV per formula unit
Space-group type ... No. 123
Total energy ... -3.125 eV per atom
Energy relative to the lowest polymorph listed for this composition ... 0.606 eV per atom
Crystal system ... tetragonal



[8]
Below is a geometry-optimized ZnPRuCl2 structure, with properties calculated at the PBE level.

a b c (Å): 4.9209 4.9209 4.5035
angles (deg): 90.00 90.00 90.00
Last column: nearest neighbours and their distance in Å.
Fractional coordinates of all 5 atoms:
Zn1 0.0000 0.0000 0.0000  8 Cl 3.34, 4 P 3.48
P1 0.5000 0.5000 0.0000  2 Ru 2.25
Ru1 0.5000 0.5000 0.5000  2 P 2.25, 4 Cl 2.46
Cl1 0.0000 0.5000 0.5000  2 Ru 2.46
Cl2 0.5000 0.0000 0.5000  2 Ru 2.46

Summary:
Energy relative to the elements, uncorrected ... 1.00 eV per formula unit
Space-group type ... No. 123
Total energy ... -3.731 eV per atom
Energy relative to the lowest polymorph listed for this composition ... 0.000 eV per atom
Crystal system ... tetragonal



[9]
Below is a geometry-optimized ZnP2RuCl structure, with properties calculated at the PBE level.

a b c (Å): 4.5720 4.5720 4.8027
angles (deg): 90.00 90.00 90.00
Last column: nearest neighbours and their distance in Å.
Fractional coordinates of all 5 atoms:
Zn1 0.0000 0.0000 0.0000  4 P 2.29, 2 Cl 2.40
P1 0.0000 0.5000 0.0000  2 Zn 2.29
P2 0.5000 0.0000 0.0000  2 Zn 2.29
Ru1 0.5000 0.5000 0.5000  4 Cl 3.23, 8 P 3.32
Cl1 0.0000 0.0000 0.5000  2 Zn 2.40

Summary:
Energy relative to the elements, uncorrected ... 5.82 eV per formula unit
Space-group type ... No. 123
Total energy ... -3.479 eV per atom
Energy relative to the lowest polymorph listed for this composition ... 0.781 eV per atom
Crystal system ... tetragonal



[10]
Below is a geometry-optimized P2S2Cl structure, with properties calculated at the PBE level.

a b c (Å): 8.1778 8.1778 3.1831
angles (deg): 90.00 90.00 90.00
Last column: nearest neighbours and their distance in Å.
Fractional coordinates of all 10 atoms:
P1 0.2357 0.2643 0.0000  2 S 2.12
P2 0.2643 0.7643 0.0000  2 S 2.12
P3 0.7357 0.2357 0.0000  2 S 2.12
P4 0.7643 0.7357 0.0000  2 S 2.12
S1 0.1428 0.6428 0.5000  2 P 2.12
S2 0.3572 0.1428 0.5000  2 P 2.12
S3 0.6428 0.8572 0.5000  2 P 2.12
S4 0.8572 0.3572 0.5000  2 P 2.12
Cl1 0.0000 0.0000 0.0000  4 P 2.90, 2 Cl 3.18
Cl2 0.5000 0.5000 0.0000  4 P 2.90, 2 Cl 3.18

Summary:
Energy relative to the elements, uncorrected ... 0.36 eV per formula unit
Space-group type ... No. 127
Total energy ... -4.113 eV per atom
Energy relative to the lowest polymorph listed for this composition ... 0.000 eV per atom
Crystal system ... tetragonal



[11]
Below is a geometry-optimized PS2Cl structure, with properties calculated at the PBE level.

a b c (Å): 6.4060 6.4060 6.4060
angles (deg): 90.00 90.00 90.00
Last column: nearest neighbours and their distance in Å.
Fractional coordinates of all 16 atoms:
P1 0.0000 0.0000 0.0000  8 S 2.77
P2 0.0000 0.5000 0.5000  8 S 2.77
P3 0.5000 0.0000 0.5000  8 S 2.77
P4 0.5000 0.5000 0.0000  8 S 2.77
S1 0.2500 0.2500 0.2500  4 Cl 2.77, 4 P 2.77
S2 0.2500 0.2500 0.7500  4 Cl 2.77, 4 P 2.77
S3 0.2500 0.7500 0.2500  4 Cl 2.77, 4 P 2.77
S4 0.2500 0.7500 0.7500  4 Cl 2.77, 4 P 2.77
S5 0.7500 0.2500 0.2500  4 Cl 2.77, 4 P 2.77
S6 0.7500 0.2500 0.7500  4 Cl 2.77, 4 P 2.77
S7 0.7500 0.7500 0.2500  4 Cl 2.77, 4 P 2.77
S8 0.7500 0.7500 0.7500  4 Cl 2.77, 4 P 2.77
Cl1 0.0000 0.0000 0.5000  8 S 2.77
Cl2 0.0000 0.5000 0.0000  8 S 2.77
Cl3 0.5000 0.0000 0.0000  8 S 2.77
Cl4 0.5000 0.5000 0.5000  8 S 2.77

Summary:
Energy relative to the elements, uncorrected ... 3.77 eV per formula unit
Space-group type ... No. 225
Total energy ... -2.936 eV per atom
Energy relative to the lowest polymorph listed for this composition ... 1.197 eV per atom
Crystal system ... cubic



[12]
Below is a geometry-optimized P2S2Cl structure, with properties calculated at the PBE level.

a b c (Å): 4.3851 4.3851 4.9678
angles (deg): 90.00 90.00 90.00
Last column: nearest neighbours and their distance in Å.
Fractional coordinates of all 5 atoms:
P1 0.0000 0.0000 0.0000  4 S 2.19
P2 0.0000 0.0000 0.5000  2 P 2.48
S1 0.0000 0.5000 0.0000  2 P 2.19
S2 0.5000 0.0000 0.0000  2 P 2.19
Cl1 0.5000 0.5000 0.5000  4 P 3.10, 8 S 3.31

Summary:
Energy relative to the elements, uncorrected ... 3.70 eV per formula unit
Space-group type ... No. 123
Total energy ... -3.443 eV per atom
Energy relative to the lowest polymorph listed for this composition ... 0.670 eV per atom
Crystal system ... tetragonal



[13]
Below is a geometry-optimized PSCl3 structure, with properties calculated at the PBE level.

a b c (Å): 6.6073 8.7509 6.6690
angles (deg): 90.00 106.56 90.00
Last column: nearest neighbours and their distance in Å.
Fractional coordinates of all 10 atoms:
P1 0.1686 0.2500 0.3850  1 S 1.90, 3 Cl 2.03
P2 0.8314 0.7500 0.6150  1 S 1.90, 3 Cl 2.03
S1 0.2492 0.2500 0.6824  1 P 1.90
S2 0.7508 0.7500 0.3176  1 P 1.90
Cl1 0.1468 0.7500 0.7593  1 P 2.03
Cl2 0.2692 0.0695 0.2481  1 P 2.03
Cl3 0.2692 0.4305 0.2481  1 P 2.03
Cl4 0.7308 0.5695 0.7519  1 P 2.03
Cl5 0.7308 0.9305 0.7519  1 P 2.03
Cl6 0.8532 0.2500 0.2407  1 P 2.03

Summary:
Energy relative to the elements, uncorrected ... -2.92 eV per formula unit
Space-group type ... No. 11
Total energy ... -3.599 eV per atom
Energy relative to the lowest polymorph listed for this composition ... 0.000 eV per atom
Crystal system ... monoclinic



[14]
Below is a geometry-optimized PSCl3 structure, with properties calculated at the PBE level.

a b c (Å): 6.5564 6.5694 8.7468
angles (deg): 90.44 90.10 90.08
Last column: nearest neighbours and their distance in Å.
Fractional coordinates of all 10 atoms:
P1 0.0000 0.0000 0.0000  1 S 1.90, 3 Cl 2.03
P2 0.4999 0.2790 0.5040  1 S 1.90, 3 Cl 2.03
S1 0.4339 0.9973 0.5024  1 P 1.90
S2 0.9344 0.2815 0.0008  1 P 1.90
Cl1 0.3010 0.9277 0.0042  1 P 2.03
Cl2 0.3924 0.4426 0.3250  1 P 2.03
Cl3 0.3960 0.4418 0.6862  1 P 2.03
Cl4 0.8011 0.3515 0.5030  1 P 2.03
Cl5 0.8900 0.8367 0.1782  1 P 2.03
Cl6 0.8984 0.8367 0.8169  1 P 2.03

Summary:
Energy relative to the elements, uncorrected ... -2.92 eV per formula unit
Space-group type ... No. 1
Total energy ... -3.599 eV per atom
Energy relative to the lowest polymorph listed for this composition ... 0.001 eV per atom
Crystal system ... triclinic